Below is a relaxed structure of Cu2AgPd, with properties calculated at the PBE-GGA level.

POSCAR file:
```
Cu2AgPd
1.0
1.3875 0.8011 8.7026
-1.3875 0.8011 8.7026
0.0000 -1.6022 8.7026
Cu Ag Pd
2 1 1
Cartesian
0.0000 0.0000 6.4610
0.0000 0.0000 19.6466
0.0000 0.0000 0.0000
0.0000 0.0000 13.0538
```

Calculated values
Volume, Å³/atom: 14.5
Uncorrected energy, eV per atom: -4.025
Fermi-level density of states, states/eV/f.u.: 3.0
M_tot, μB/f.u.: 0.000